[1]
Compound: TlAg2Mo
Source: the Alexandria database
Functional: PBE-GGA
Structure: relaxed

## Properties
**V**: 74.7 Å³/cell
**Calculated formation energy**: 2.28 eV/f.u.

a b c (Å): 4.092 4.092 4.463
angles (deg): 90.00 90.00 90.00
Element x y z (fractional)
Mo 0.500 0.000 0.500
Ag 0.000 0.000 0.000
Ag 0.500 0.500 0.000
Tl 0.000 0.500 0.500


[2]
Compound: TlAg2Mo
Source: the Alexandria database
Functional: PBE-GGA
Structure: relaxed

## Properties
**V**: 76.9 Å³/cell
**Calculated formation energy**: 2.95 eV/f.u.

a b c (Å): 4.773 4.773 4.773
angles (deg): 60.00 60.00 60.00
Element x y z (fractional)
Ag 0.750 0.750 0.750
Ag 0.250 0.250 0.250
Mo 0.000 0.000 0.000
Tl 0.500 0.500 0.500


[3]
Compound: TlAg2Mo
Source: the Alexandria database
Functional: PBE-GGA
Structure: relaxed

## Properties
**V**: 75.8 Å³/cell
**Calculated formation energy**: 2.31 eV/f.u.

a b c (Å): 3.034 4.914 5.085
angles (deg): 90.00 90.00 90.00
Element x y z (fractional)
Ag 0.500 0.500 0.000
Ag 0.000 0.000 0.000
Tl 0.000 0.500 0.500
Mo 0.500 0.000 0.500


[4]
Compound: TlAg2Mo
Source: the Alexandria database
Functional: PBE-GGA
Structure: relaxed

## Properties
**V**: 75.6 Å³/cell
**Calculated formation energy**: 1.93 eV/f.u.

a b c (Å): 2.897 2.897 9.005
angles (deg): 90.00 90.00 89.74
Element x y z (fractional)
Tl 0.500 0.500 0.742
Ag 0.000 0.000 0.018
Ag 0.500 0.500 0.256
Mo 0.000 0.000 0.485


[5]
Compound: TlAgMo4
Source: the Alexandria database
Functional: PBE-GGA
Structure: relaxed

## Properties
**V**: 108.1 Å³/cell
**Calculated formation energy**: 4.03 eV/f.u.

a b c (Å): 5.347 5.347 5.347
angles (deg): 60.00 60.00 60.00
Element x y z (fractional)
Ag 0.000 0.000 0.000
Mo 0.373 0.373 0.881
Mo 0.373 0.881 0.373
Mo 0.881 0.373 0.373
Mo 0.373 0.373 0.373
Tl 0.750 0.750 0.750


[6]
Compound: TlAg2Mo
Source: the Alexandria database
Functional: PBE-GGA
Structure: relaxed

## Properties
**V**: 75.7 Å³/cell
**Calculated formation energy**: 2.28 eV/f.u.

a b c (Å): 5.462 5.462 2.831
angles (deg): 90.00 90.00 116.35
Element x y z (fractional)
Mo 0.500 0.000 0.500
Ag 0.500 0.500 0.000
Ag 0.000 0.000 0.000
Tl 0.000 0.500 0.500


[7]
Compound: TlAg2Mo
Source: the Alexandria database
Functional: PBE-GGA
Structure: relaxed

## Properties
**V**: 76.3 Å³/cell
**Calculated formation energy**: 2.72 eV/f.u.

a b c (Å): 5.352 5.352 5.352
angles (deg): 134.69 134.69 66.02
Element x y z (fractional)
Mo 0.250 0.750 0.500
Tl 0.750 0.250 0.500
Ag 0.000 0.000 0.000
Ag 0.500 0.500 0.000


[8]
Compound: TlAg2Mo
Source: the Alexandria database
Functional: PBE-GGA
Structure: relaxed

## Properties
**V**: 76.4 Å³/cell
**Calculated formation energy**: 2.59 eV/f.u.

a b c (Å): 4.761 4.761 4.761
angles (deg): 119.92 119.92 90.13
Element x y z (fractional)
Ag 0.250 0.750 0.500
Ag 0.000 0.000 0.000
Tl 0.750 0.250 0.500
Mo 0.500 0.500 0.000


[9]
Compound: TlAgMo
Source: the Alexandria database
Functional: PBE-GGA
Structure: relaxed

## Properties
**V**: 57.9 Å³/cell
**Calculated formation energy**: 1.92 eV/f.u.

a b c (Å): 3.004 3.004 7.404
angles (deg): 90.00 90.00 120.00
Element x y z (fractional)
Mo 0.333 0.667 0.325
Tl 0.667 0.333 0.661
Ag 0.000 0.000 0.013


[10]
Compound: TlAgMoW2
Source: the Alexandria database
Functional: PBE-GGA
Structure: relaxed

## Properties
**V**: 119.0 Å³/cell
**Calculated formation energy**: 15.08 eV/f.u.

a b c (Å): 4.995 4.768 4.995
angles (deg): 90.00 90.00 90.00
Element x y z (fractional)
Ag 0.000 0.500 0.000
W 0.000 0.000 0.500
W 0.500 0.000 0.000
Mo 0.500 0.500 0.500
Tl 0.000 0.000 0.000


[11]
Compound: Tl2ZnAgMo
Source: the Alexandria database
Functional: PBE-GGA
Structure: relaxed

## Properties
**V**: 133.2 Å³/cell
**Calculated formation energy**: 5.48 eV/f.u.

a b c (Å): 5.208 4.913 5.208
angles (deg): 90.00 90.00 90.00
Element x y z (fractional)
Ag 0.000 0.500 0.000
Tl 0.000 0.000 0.500
Tl 0.500 0.000 0.000
Zn 0.000 0.000 0.000
Mo 0.500 0.500 0.500


[12]
Compound: V2AgMo
Source: the Alexandria database
Functional: PBE-GGA
Structure: relaxed

## Properties
**V**: 130.4 Å³/cell
**Calculated formation energy**: 3.23 eV/f.u.

a b c (Å): 6.926 6.926 5.601
angles (deg): 51.81 51.81 90.00
Element x y z (fractional)
V 0.607 0.125 0.250
V 0.375 0.393 0.750
V 0.143 0.625 0.250
V 0.875 0.857 0.750
Mo 0.500 0.500 0.000
Mo 0.250 0.750 0.500
Ag 0.750 0.250 0.500
Ag 0.000 0.000 0.000


[13]
Compound: V2AgMo
Source: the Alexandria database
Functional: PBE-GGA
Structure: relaxed

## Properties
**V**: 61.1 Å³/cell
**Calculated formation energy**: 0.75 eV/f.u.

a b c (Å): 3.140 3.140 6.200
angles (deg): 90.00 90.00 90.00
Element x y z (fractional)
Ag 0.500 0.500 0.500
V 0.000 0.000 0.778
V 0.000 0.000 0.222
Mo 0.500 0.500 0.000


[14]
Compound: VAgMo2
Source: the Alexandria database
Functional: PBE-GGA
Structure: relaxed

## Properties
**V**: 63.0 Å³/cell
**Calculated formation energy**: 2.22 eV/f.u.

a b c (Å): 4.466 4.466 4.466
angles (deg): 60.00 60.00 60.00
Element x y z (fractional)
Mo 0.750 0.750 0.750
Mo 0.250 0.250 0.250
Ag 0.500 0.500 0.500
V 0.000 0.000 0.000


[15]
Compound: VAgMo3
Source: the Alexandria database
Functional: PBE-GGA
Structure: relaxed

## Properties
**V**: 92.3 Å³/cell
**Calculated formation energy**: 6.52 eV/f.u.

a b c (Å): 4.520 4.520 4.520
angles (deg): 90.00 90.00 90.00
Element x y z (fractional)
V 0.000 0.000 0.000
Mo 0.000 0.000 0.500
Mo 0.000 0.500 0.000
Mo 0.500 0.000 0.000
Ag 0.500 0.500 0.500


Table of energy (eV/cell), in record order: -16.6, -15.9, -16.6, -17.0, -44.5, -16.6, -16.2, -16.3, -14.1, -26.9, -14.2, -57.4, -31.2, -31.4, -37.9